(1)
Material: SmGdC2Br2
Method: DFT, PBE-GGA
State: optimized geometry

Geometry as POSCAR:
```
SmGdC2Br2
1.0
3.587 -1.931 0.000
3.587 1.931 0.000
-1.763 0.000 10.839
Sm Gd C Br
1 1 2 2
Direct
0.000 0.000 0.000
0.190 0.190 0.729
0.508 0.508 0.828
0.681 0.681 0.894
0.385 0.385 0.178
0.804 0.804 0.556
```

Symmetry: Cm
Theoretical density (g/cm3): 5.4
VASP energy (hartree per atom): -0.2302


(2)
Material: SmErGa2Br2
Method: DFT, PBE-GGA
State: optimized geometry

Geometry as POSCAR:
```
SmErGa2Br2
1.0
4.146 0.000 0.000
-2.073 3.591 0.000
0.000 0.000 11.319
Sm Er Ga Br
1 1 2 2
Direct
0.000 0.000 0.000
0.000 0.000 0.364
0.333 0.667 0.216
0.667 0.333 0.156
0.333 0.667 0.839
0.667 0.333 0.517
```

Symmetry: P3m1
Theoretical density (g/cm3): 6.1
VASP energy (hartree per atom): -0.1591